# 1
Material: CsSc3Ge
Method: DFT, GGA-PBE
State: relaxed

E above lowest polymorph	0	meV/atom
E_tot	-4.5640	eV per atom
DFT formation energy	0.329	eV per atom

a b c (Å): 5.3792 5.3792 5.3792
angles (deg): 90.00 90.00 90.00
Atoms (fractional coordinates):
Cs (0.5000, 0.5000, 0.5000)
Sc (0.0000, 0.0000, 0.5000)
Sc (0.0000, 0.5000, 0.0000)
Sc (0.5000, 0.0000, 0.0000)
Ge (0.0000, 0.0000, 0.0000)


# 2
Material: CsScGe
Method: DFT, GGA-PBE
State: relaxed

E above lowest polymorph	105	meV/atom
E_tot	-3.9238	eV per atom
DFT formation energy	0.010	eV per atom

a b c (Å): 11.3059 4.9021 9.5947
angles (deg): 90.00 90.00 90.00
Atoms (fractional coordinates):
Sc (0.5243, 0.7500, 0.3950)
Sc (0.9757, 0.2500, 0.8950)
Sc (0.4757, 0.2500, 0.6050)
Sc (0.0243, 0.7500, 0.1050)
Cs (0.1798, 0.7500, 0.4711)
Cs (0.6798, 0.7500, 0.0289)
Cs (0.3202, 0.2500, 0.9711)
Cs (0.8202, 0.2500, 0.5289)
Ge (0.4522, 0.2500, 0.3240)
Ge (0.0478, 0.7500, 0.8240)
Ge (0.5478, 0.7500, 0.6760)
Ge (0.9522, 0.2500, 0.1760)


# 3
Material: CsScGe
Method: DFT, GGA-PBE
State: relaxed

E above lowest polymorph	453	meV/atom
E_tot	-3.5758	eV per atom
DFT formation energy	0.358	eV per atom

a b c (Å): 12.9104 6.3788 8.0555
angles (deg): 90.00 90.00 90.00
Atoms (fractional coordinates):
Sc (0.0000, 0.5000, 0.0000)
Sc (0.0000, 0.0000, 0.0000)
Sc (0.5000, 0.0000, 0.5000)
Sc (0.5000, 0.5000, 0.5000)
Cs (0.3469, 0.7500, 0.0093)
Cs (0.1531, 0.2500, 0.5093)
Cs (0.6531, 0.2500, 0.9907)
Cs (0.8469, 0.7500, 0.4907)
Ge (0.0851, 0.7500, 0.7847)
Ge (0.4149, 0.2500, 0.2847)
Ge (0.5851, 0.7500, 0.7153)
Ge (0.9149, 0.2500, 0.2153)


# 4
Material: CsScGeSe
Method: DFT, GGA-PBE
State: relaxed

E above lowest polymorph	37	meV/atom
formation energy without anion corrections	-676	meV/atom
E_tot	-4.4974	eV per atom

a b c (Å): 8.1241 4.9723 6.2730
angles (deg): 90.00 105.39 90.00
Atoms (fractional coordinates):
Cs (0.3790, 0.0000, 0.6711)
Cs (0.3790, 0.5000, 0.1711)
Sc (0.8740, 0.0000, 0.7195)
Sc (0.8740, 0.5000, 0.2195)
Ge (0.7379, 0.5000, 0.7187)
Ge (0.7379, 0.0000, 0.2187)
Se (0.0497, 0.5000, 0.6432)
Se (0.0497, 0.0000, 0.1432)


# 5
Material: CsScGeSe
Method: DFT, GGA-PBE
State: relaxed

E above lowest polymorph	0	meV/atom
formation energy without anion corrections	-713	meV/atom
E_tot	-4.5344	eV per atom

a b c (Å): 9.5563 3.8184 6.6105
angles (deg): 90.00 103.30 90.00
Atoms (fractional coordinates):
Se (0.0708, 0.5000, 0.2029)
Se (0.0708, 0.0000, 0.7029)
Cs (0.3738, 0.5000, 0.9703)
Cs (0.3738, 0.0000, 0.4703)
Sc (0.9071, 0.5000, 0.8148)
Sc (0.9071, 0.0000, 0.3148)
Ge (0.6889, 0.5000, 0.4089)
Ge (0.6889, 0.0000, 0.9089)


# 6
Material: CsScGeSe
Method: DFT, GGA-PBE
State: relaxed

E above lowest polymorph	233	meV/atom
formation energy without anion corrections	-480	meV/atom
E_tot	-4.3013	eV per atom

a b c (Å): 3.7928 6.1238 6.2605
angles (deg): 90.00 90.00 90.00
Atoms (fractional coordinates):
Cs (0.5000, 0.5000, 0.6191)
Ge (0.0000, 0.0000, 0.4088)
Sc (0.5000, 0.0000, 0.1139)
Se (0.0000, 0.0000, 0.8176)